Version A
DFT (PBE) results for an optimized crystal structure of PrNdTmAg.

```
4
Lattice="0.000 3.880 3.880 3.880 0.000 3.880 3.880 3.880 0.000" Properties=species:S:1:pos:R:3 pbc="T T T"
Pr 0.000 0.000 0.000
Nd 3.880 3.880 3.880
Tm 5.820 5.820 5.820
Ag 1.940 1.940 1.940
```

Version B
DFT (PBE) results for an optimized crystal structure of PrNdTmAg.

```
4
Lattice="3.658 0.000 0.000 0.000 3.658 0.000 0.000 0.000 8.888" Properties=species:S:1:pos:R:3 pbc="T T T"
Pr 0.000 0.000 0.000
Nd 1.829 1.829 6.234
Tm 1.829 1.829 2.544
Ag 0.000 0.000 4.178
```

Result of the stability comparison: version B is the most stable of them.